DFT (GGA-PBE) results for LiPr2Dy after structural relaxation. Values from VASP.

Structure (Quantum ESPRESSO input):
```
&SYSTEM
  ibrav = 0, nat = 4, ntyp = 3
/
ATOMIC_SPECIES
Dy 162.50 Dy.upf
Pr 140.91 Pr.upf
Li 6.94 Li.upf
ATOMIC_POSITIONS angstrom
Dy 3.6166 2.0881 5.7180
Pr 1.8083 1.0440 2.8194
Pr 1.8058 1.0426 8.6112
Li 5.4248 3.1320 11.4140
CELL_PARAMETERS angstrom
3.6175 -0.0003 -0.0007
1.8085 3.1330 -0.0007
1.8066 1.0431 11.4259
```

Properties
**Space group**: R3m (160)
**Volume**: 129.5 Å³ per cell
**Distance to the lowest polymorph of the same formula**: 6.2 meV/atom
**Formation energy**: 0.27 eV/f.u.

---

DFT (GGA-PBE) results for LiPr2Dy after structural relaxation. Values from VASP.

Structure (Quantum ESPRESSO input):
```
&SYSTEM
  ibrav = 0, nat = 4, ntyp = 3
/
ATOMIC_SPECIES
Li 6.94 Li.upf
Pr 140.91 Pr.upf
Dy 162.50 Dy.upf
ATOMIC_POSITIONS angstrom
Li 0.0000 0.0000 0.0000
Pr -0.9980 1.0351 6.8362
Dy 1.6670 -1.2948 7.1559
Pr 4.3319 -3.6247 7.4756
CELL_PARAMETERS angstrom
-0.2978 2.6731 2.3092
-2.6349 0.0084 2.3715
6.2666 -5.2712 9.6311
```

Properties
**Space group**: R-3m (166)
**Volume**: 135.8 Å³ per cell
**Distance to the lowest polymorph of the same formula**: 96.1 meV/atom
**Formation energy**: 0.63 eV/f.u.

---

DFT (GGA-PBE) results for Li2PrDy after structural relaxation. Values from VASP.

Structure (Quantum ESPRESSO input):
```
&SYSTEM
  ibrav = 0, nat = 4, ntyp = 3
/
ATOMIC_SPECIES
Dy 162.50 Dy.upf
Li 6.94 Li.upf
Pr 140.91 Pr.upf
ATOMIC_POSITIONS angstrom
Dy 0.0000 0.0000 0.0000
Li 2.6741 1.5439 1.0917
Pr 5.3482 3.0878 2.1834
Li 8.0222 4.6316 3.2751
CELL_PARAMETERS angstrom
5.3482 0.0000 0.0000
2.6741 4.6316 0.0000
2.6741 1.5439 4.3668
```

Properties
**Space group**: Fm-3m (225)
**Volume**: 108.2 Å³ per cell
**Distance to the lowest polymorph of the same formula**: 2.1 meV/atom
**Formation energy**: 0.61 eV/f.u.

---

DFT (GGA-PBE) results for LiPr2Dy after structural relaxation. Values from VASP.

Structure (Quantum ESPRESSO input):
```
&SYSTEM
  ibrav = 0, nat = 4, ntyp = 3
/
ATOMIC_SPECIES
Pr 140.91 Pr.upf
Dy 162.50 Dy.upf
Li 6.94 Li.upf
ATOMIC_POSITIONS angstrom
Pr -1.0992 4.8400 5.1425
Dy -3.2407 2.5561 3.3586
Li -2.5261 -0.5902 0.0156
Pr -0.3299 1.4527 1.5435
CELL_PARAMETERS angstrom
-2.9613 1.2251 -1.7859
-2.0909 -2.4055 1.8170
-1.4291 6.2927 6.6860
```

Properties
**Space group**: P4/mmm (123)
**Volume**: 125.1 Å³ per cell
**Distance to the lowest polymorph of the same formula**: 0.0 meV/atom
**Formation energy**: 0.25 eV/f.u.

---

DFT (GGA-PBE) results for LiPr2Dy after structural relaxation. Values from VASP.

Structure (Quantum ESPRESSO input):
```
&SYSTEM
  ibrav = 0, nat = 4, ntyp = 3
/
ATOMIC_SPECIES
Li 6.94 Li.upf
Pr 140.91 Pr.upf
Dy 162.50 Dy.upf
ATOMIC_POSITIONS angstrom
Li 1.7854 1.0308 6.2804
Pr 0.0000 2.0616 9.1472
Dy 0.0000 0.0000 0.0974
Pr 1.7854 1.0308 2.9893
CELL_PARAMETERS angstrom
3.5708 0.0000 0.0000
-1.7854 3.0924 0.0000
0.0000 0.0000 11.9833
```

Properties
**Space group**: P3m1 (156)
**Volume**: 132.3 Å³ per cell
**Distance to the lowest polymorph of the same formula**: 53.1 meV/atom
**Formation energy**: 0.46 eV/f.u.

---

DFT (GGA-PBE) results for LiPr4Dy after structural relaxation. Values from VASP.

Structure (Quantum ESPRESSO input):
```
&SYSTEM
  ibrav = 0, nat = 6, ntyp = 3
/
ATOMIC_SPECIES
Pr 140.91 Pr.upf
Dy 162.50 Dy.upf
Li 6.94 Li.upf
ATOMIC_POSITIONS angstrom
Pr 0.0000 0.0000 9.3829
Dy 0.0000 0.0000 0.0000
Pr 1.8477 1.8477 11.9623
Pr 1.8477 1.8477 2.5278
Pr 0.0000 0.0000 5.1072
Li 1.8477 1.8477 7.2451
CELL_PARAMETERS angstrom
3.6953 0.0000 0.0000
0.0000 3.6953 0.0000
0.0000 0.0000 14.4901
```

Properties
**Space group**: P4/mmm (123)
**Volume**: 197.9 Å³ per cell
**Formation energy**: 0.26 eV/f.u.

---

DFT (GGA-PBE) results for LiPr4Dy4 after structural relaxation. Values from VASP.

Structure (Quantum ESPRESSO input):
```
&SYSTEM
  ibrav = 0, nat = 9, ntyp = 3
/
ATOMIC_SPECIES
Pr 140.91 Pr.upf
Dy 162.50 Dy.upf
Li 6.94 Li.upf
ATOMIC_POSITIONS angstrom
Pr 0.7403 -0.3209 -3.0863
Dy 8.2696 -5.1544 -2.5096
Dy 2.3465 -2.3312 -0.7600
Pr -1.1041 -2.3006 -0.0256
Pr 5.1593 -4.0527 -1.6383
Pr 5.0411 -2.4356 1.4625
Dy -3.4367 -1.5361 -2.3966
Li 0.0000 0.0000 0.0000
Dy 0.9309 -3.6850 2.3384
CELL_PARAMETERS angstrom
1.4806 -0.6418 -6.1725
10.0821 -4.8713 2.9249
-7.5076 -0.8402 1.5838
```

Properties
**Space group**: I222 (23)
**Volume**: 294.6 Å³ per cell
**Formation energy**: 2.78 eV/f.u.

---

DFT (GGA-PBE) results for LiPrDyRh after structural relaxation. Values from VASP.

Structure (Quantum ESPRESSO input):
```
&SYSTEM
  ibrav = 0, nat = 4, ntyp = 4
/
ATOMIC_SPECIES
Dy 162.50 Dy.upf
Pr 140.91 Pr.upf
Rh 102.91 Rh.upf
Li 6.94 Li.upf
ATOMIC_POSITIONS angstrom
Dy -1.6108 2.4647 8.7781
Pr -0.5369 0.8216 2.9260
Rh -1.0739 1.6431 5.8521
Li 0.0000 0.0000 0.0000
CELL_PARAMETERS angstrom
-3.4287 1.8677 3.1867
-0.1583 -1.6258 4.7677
1.4393 3.0444 3.7496
```

Properties
**Space group**: F-43m (216)
**Volume**: 90.5 Å³ per cell
**Formation energy**: -1.57 eV/f.u.

---

DFT (GGA-PBE) results for LiPrDyRu after structural relaxation. Values from VASP.

Structure (Quantum ESPRESSO input):
```
&SYSTEM
  ibrav = 0, nat = 4, ntyp = 4
/
ATOMIC_SPECIES
Dy 162.50 Dy.upf
Ru 101.07 Ru.upf
Pr 140.91 Pr.upf
Li 6.94 Li.upf
ATOMIC_POSITIONS angstrom
Dy 0.0000 0.0000 0.0000
Ru 2.5056 1.4466 1.0229
Pr 5.0112 2.8932 2.0458
Li 7.5168 4.3398 3.0687
CELL_PARAMETERS angstrom
5.0112 0.0000 0.0000
2.5056 4.3398 0.0000
2.5056 1.4466 4.0916
```

Properties
**Space group**: F-43m (216)
**Volume**: 89.0 Å³ per cell
**Formation energy**: -0.75 eV/f.u.

---

DFT (GGA-PBE) results for Li2PrDyS4 after structural relaxation. Values from VASP.

Structure (Quantum ESPRESSO input):
```
&SYSTEM
  ibrav = 0, nat = 8, ntyp = 4
/
ATOMIC_SPECIES
Pr 140.91 Pr.upf
Dy 162.50 Dy.upf
S 32.06 S.upf
Li 6.94 Li.upf
ATOMIC_POSITIONS angstrom
Pr 0.0000 0.0000 0.0000
Dy -3.5993 1.1376 -1.3435
S 0.7558 4.3306 1.4792
Li -1.7191 3.1975 1.3361
S -4.1941 2.0644 1.1930
S -2.7191 5.4270 0.1076
Li 1.4786 3.4103 -1.0687
S -1.1207 2.3183 -1.1836
CELL_PARAMETERS angstrom
-0.4015 1.3504 -3.7483
-6.7970 0.9248 1.0613
3.3587 5.4703 1.6110
```

Properties
**ΔE_f (raw)**: -1.799 eV per atom
**Space group**: P2/m (10)
**Volume**: 172.3 Å³ per cell

---

DFT (GGA-PBE) results for LiPr4Dy3S8 after structural relaxation. Values from VASP.

Structure (Quantum ESPRESSO input):
```
&SYSTEM
  ibrav = 0, nat = 16, ntyp = 4
/
ATOMIC_SPECIES
S 32.06 S.upf
Pr 140.91 Pr.upf
Li 6.94 Li.upf
Dy 162.50 Dy.upf
ATOMIC_POSITIONS angstrom
S 2.0109 1.9425 5.5982
Pr 3.9708 0.0000 0.0000
S 3.9708 0.1268 2.9316
Li 0.0000 4.0220 0.0325
S 3.9708 3.9514 2.7884
Dy 1.9854 2.0387 2.8420
Pr -1.9854 -1.9832 2.8094
Dy -1.9854 2.0387 2.8420
S 0.0000 3.9507 2.7523
Pr 0.0000 0.0000 0.0000
Dy 3.9708 4.0220 0.0325
S 0.0000 0.1261 2.8955
S 5.9818 2.1350 0.0857
S -2.0109 1.9425 5.5982
S 1.9599 2.1350 0.0857
Pr 1.9854 -1.9832 2.8094
CELL_PARAMETERS angstrom
7.9417 0.0000 0.0000
0.0000 8.0439 0.0650
-3.9708 -3.9665 5.6189
```

Properties
**ΔE_f (raw)**: -1.964 eV per atom
**Space group**: R-3m (166)
**Volume**: 361.0 Å³ per cell

---

DFT (GGA-PBE) results for LiPr2DyS5 after structural relaxation. Values from VASP.

Structure (Quantum ESPRESSO input):
```
&SYSTEM
  ibrav = 0, nat = 18, ntyp = 4
/
ATOMIC_SPECIES
S 32.06 S.upf
Pr 140.91 Pr.upf
Dy 162.50 Dy.upf
Li 6.94 Li.upf
ATOMIC_POSITIONS angstrom
S 5.1544 -7.0824 2.8570
S 4.1328 -5.0965 -0.1786
S 4.7756 -9.1658 -0.0154
Pr 4.9505 -10.0623 2.8645
S 0.6957 -0.8931 0.1189
Dy 1.8099 -1.7576 -2.0901
Li 6.2835 -7.6104 -0.8573
Li 2.3627 -8.1445 8.3771
Pr 3.6243 -5.6854 5.0011
S 7.1461 -10.0878 5.1009
Pr 2.2800 -3.1528 1.3484
S 1.4784 -6.6603 6.7455
S 1.6276 -5.8960 2.7167
Pr 2.7406 -5.9767 -2.8103
S 1.0096 -4.2192 -1.1356
S 3.4642 -8.7762 5.2476
S 5.6467 -6.3657 -2.7787
Dy 3.1457 -7.3761 0.9889
CELL_PARAMETERS angstrom
-3.0891 -2.4845 -0.5858
6.1048 -3.1687 -5.0471
3.8465 -6.9010 8.9852
```

Properties
**ΔE_f (raw)**: -1.924 eV per atom
**Space group**: Cmc2_1 (36)
**Volume**: 397.6 Å³ per cell